First-principles (PBE) data for FeCo2Ir4 after structural relaxation, as listed in Alexandria.

## Properties
Total magnetic moment   11.88 μB per cell
Symmetry   Cmcm (63)
E_tot   -111.86 eV for the cell shown
Density of states at the Fermi level   10.9 states/eV/f.u.
DFT formation energy   0.31 eV/atom

Lattice parameters (Å, degrees): 8.215 8.215 9.400 90.00 90.00 161.34
Element x y z (fractional)
Fe (0.119, 0.881, 0.750)
Fe (0.881, 0.119, 0.250)
Co (0.371, 0.629, 0.579)
Co (0.371, 0.629, 0.921)
Co (0.629, 0.371, 0.079)
Co (0.629, 0.371, 0.421)
Ir (0.000, 0.000, 0.000)
Ir (0.000, 0.000, 0.500)
Ir (0.263, 0.737, 0.115)
Ir (0.263, 0.737, 0.385)
Ir (0.486, 0.514, 0.750)
Ir (0.514, 0.486, 0.250)
Ir (0.737, 0.263, 0.615)
Ir (0.737, 0.263, 0.885)